No. 1
# Y2Si3Ni2 (PBE-GGA, relaxed)
# - magnetization (μB/f.u.) = 0.00
# - raw formation energy (eV per atom) = -0.80
# - V (Å³/cell) = 466.57
# - energy above the most stable polymorph in this dataset (eV/atom) = 0.000
data_Y2Si3Ni2
_cell_length_a 4.0863
_cell_length_b 17.2954
_cell_length_c 6.6016
_cell_angle_alpha 90.00
_cell_angle_beta 90.00
_cell_angle_gamma 90.00
_symmetry_space_group_name_H-M 'C m c m'
_symmetry_Int_Tables_number 63
_symmetry_space_group_name_Hall '-C 2c 2'
loop_
_atom_site_label
_atom_site_fract_x
_atom_site_fract_y
_atom_site_fract_z
Y1 0.0000 0.0529 0.2500
Y2 0.0000 0.1580 0.7500
Si1 0.0000 0.2236 0.2500
Si2 0.0000 0.4361 0.0667
Ni1 0.0000 0.3056 0.5544

No. 2
# Y2Si3Ni2 (PBE-GGA, relaxed)
# - magnetization (μB/f.u.) = 0.00
# - raw formation energy (eV per atom) = -0.68
# - V (Å³/cell) = 229.11
# - energy above the most stable polymorph in this dataset (eV/atom) = 0.119
data_Y2Si3Ni2
_cell_length_a 10.0490
_cell_length_b 3.9915
_cell_length_c 6.3718
_cell_angle_alpha 90.00
_cell_angle_beta 116.31
_cell_angle_gamma 90.00
_symmetry_space_group_name_H-M 'C 1 2/m 1'
_symmetry_Int_Tables_number 12
_symmetry_space_group_name_Hall '-C 2y'
loop_
_atom_site_label
_atom_site_fract_x
_atom_site_fract_y
_atom_site_fract_z
Y1 0.1488 0.0000 0.2792
Si1 0.0000 0.5000 0.5000
Si2 0.1142 0.5000 0.9377
Ni1 0.1380 0.0000 0.7485

No. 3
# YSi2Ni (PBE-GGA, relaxed)
# - magnetization (μB/f.u.) = 0.34
# - raw formation energy (eV per atom) = -0.34
# - V (Å³/cell) = 132.58
data_YSi2Ni
_cell_length_a 4.1112
_cell_length_b 4.9426
_cell_length_c 6.5247
_cell_angle_alpha 90.00
_cell_angle_beta 90.00
_cell_angle_gamma 90.00
_symmetry_space_group_name_H-M 'C m m m'
_symmetry_Int_Tables_number 65
_symmetry_space_group_name_Hall '-C 2 2'
loop_
_atom_site_label
_atom_site_fract_x
_atom_site_fract_y
_atom_site_fract_z
Y1 0.0000 0.0000 0.0000
Si1 0.0000 0.5000 0.3155
Ni1 0.0000 0.0000 0.5000

No. 4
# YSiNi2 (PBE-GGA, relaxed)
# - magnetization (μB/f.u.) = 0.00
# - raw formation energy (eV per atom) = -0.02
# - V (Å³/cell) = 129.17
data_YSiNi2
_cell_length_a 5.6726
_cell_length_b 8.1244
_cell_length_c 3.2384
_cell_angle_alpha 90.00
_cell_angle_beta 120.06
_cell_angle_gamma 90.00
_symmetry_space_group_name_H-M 'C 1 2/m 1'
_symmetry_Int_Tables_number 12
_symmetry_space_group_name_Hall '-C 2y'
loop_
_atom_site_label
_atom_site_fract_x
_atom_site_fract_y
_atom_site_fract_z
Y1 0.0000 0.0000 0.0000
Si1 0.0000 0.5000 0.0000
Ni1 0.2500 0.2500 0.5000

Look up the magnetization of the first one.
0.00 μB/f.u.

Look up the magnetization of the third one.
0.34 μB/f.u.

Which formula does entry 1 have?
Y2Si3Ni2